Compound: GaTcRh3
Source: the Alexandria database
Functional: PBE
Structure: relaxed

- DOS(E_F) (states/eV per cell) = 6.4
- calculated total energy (eV/atom) = -6.0848
- formation energy from the elements (eV/atom) = 1.00
- polymorph energy (0 for the lowest one) (eV per atom) = 0.000
- total magnetization (μB/f.u.) = 4.17

a b c (Å): 4.4845 4.4845 4.4845
angles (deg): 90.00 90.00 90.00
Last column: nearest neighbours and their distance in Å.
Space group Pm-3m (No. 221)
Symmetry-distinct sites (fractional):
Ga  0.0000  0.0000  0.0000 x1  6 Rh 2.24
Tc  0.5000  0.5000  0.5000 x1  12 Rh 3.17
Rh  0.0000  0.0000  0.5000 x3  2 Ga 2.24

---

Compound: DyY3Pb2C
Source: the Alexandria database
Functional: PBE
Structure: relaxed

- DOS(E_F) (states/eV per cell) = 1.2
- calculated total energy (eV/atom) = -6.3806
- formation energy from the elements (eV/atom) = -0.58
- total magnetization (μB/f.u.) = 0.00

a b c (Å): 4.8323 4.8341 16.1228
angles (deg): 90.00 90.00 90.00
Last column: nearest neighbours and their distance in Å.
Space group Immm (No. 71)
Symmetry-distinct sites (fractional):
Dy  0.0000  0.0000  0.0000 x2  2 C 2.42
Y  0.0000  0.0000  0.5000 x2  2 C 2.42
Y  0.0000  0.5000  0.1578 x4  1 C 2.54
Pb  0.0000  0.5000  0.3577 x4  7 Y 3.22-3.43, 2 Dy 3.33
C  0.0000  0.5000  0.0000 x2  4 Y 2.42-2.54, 2 Dy 2.42

---

Compound: Te2MoRhI
Source: the Alexandria database
Functional: PBE
Structure: relaxed

- DOS(E_F) (states/eV per cell) = 8.2
- formation energy from raw total energies (eV/atom) = 1.039
- calculated total energy (eV/atom) = -4.1644
- polymorph energy (0 for the lowest one) (eV per atom) = 0.123
- total magnetization (μB/f.u.) = 0.48

a b c (Å): 5.1680 5.1680 5.6315
angles (deg): 90.00 90.00 90.00
Last column: nearest neighbours and their distance in Å.
Space group P4/mmm (No. 123)
Symmetry-distinct sites (fractional):
Te  0.0000  0.5000  0.0000 x2  2 Mo 2.58
Mo  0.0000  0.0000  0.0000 x1  4 Te 2.58, 2 I 2.82
Rh  0.5000  0.5000  0.5000 x1  4 I 3.65, 8 Te 3.82
I  0.0000  0.0000  0.5000 x1  2 Mo 2.82

---

Compound: LaBeBi3
Source: the Alexandria database
Functional: PBE
Structure: relaxed

- DOS(E_F) (states/eV per cell) = 3.5
- calculated total energy (eV/atom) = -4.1007
- formation energy from the elements (eV/atom) = -0.04
- polymorph energy (0 for the lowest one) (eV per atom) = 0.000
- total magnetization (μB/f.u.) = 0.00

a b c (Å): 5.2359 5.2359 5.2359
angles (deg): 90.00 90.00 90.00
Last column: nearest neighbours and their distance in Å.
Space group Pm-3m (No. 221)
Symmetry-distinct sites (fractional):
La  0.0000  0.0000  0.0000 x1  12 Bi 3.70
Be  0.5000  0.5000  0.5000 x1  6 Bi 2.62
Bi  0.0000  0.5000  0.5000 x3  2 Be 2.62